Material: La2FeTcH
Method: DFT, GGA-PBE
State: relaxed

- Crystal system: tetragonal
- Electronic total energy: -5.849 eV per atom

```
La2FeTcH
1.0
5.4397 0.0000 0.0000
0.0000 5.4397 0.0000
0.0000 0.0000 4.2794
La Fe Tc H
2 1 1 1
Cartesian
0.0000 2.7199 0.0000
2.7199 0.0000 0.0000
0.0000 0.0000 0.0000
0.0000 0.0000 2.1397
2.7199 2.7199 2.1397
```